No. 1
Here is a relaxed Ti2Ni2Ag crystal from Alexandria. Energies are from GGA-PBE.

Geometry as POSCAR:
```
Ti2Ni2Ag
1.0
7.402 0.000 0.000
0.000 7.402 0.000
0.000 0.000 2.714
Ti Ag Ni
4 2 4
direct
0.849 0.651 0.000
0.651 0.151 0.000
0.151 0.349 0.000
0.349 0.849 0.000
0.000 0.000 0.000
0.500 0.500 0.000
0.139 0.639 0.500
0.361 0.139 0.500
0.861 0.361 0.500
0.639 0.861 0.500
```

## Properties
ΔE_f in meV per atom: -91.6
Magnetic moment in μB/cell: 0.00
Excess energy over the best structure of this formula in the dataset in meV per atom: 194

=====

No. 2
Here is a relaxed Ti4NiAg crystal from Alexandria. Energies are from GGA-PBE.

Geometry as POSCAR:
```
Ti4NiAg
1.0
-2.903 0.014 0.667
0.402 -2.340 1.799
1.941 6.730 8.318
Ti Ni Ag
4 1 1
direct
0.500 0.500 0.812
0.500 0.500 0.188
0.000 0.000 0.357
0.000 0.000 0.643
0.500 0.500 0.500
0.000 0.000 0.000
```

## Properties
ΔE_f in meV per atom: -176.9
Magnetic moment in μB/cell: 0.00

=====

No. 3
Here is a relaxed TiNiAg2 crystal from Alexandria. Energies are from GGA-PBE.

Geometry as POSCAR:
```
TiNiAg2
1.0
0.000 3.156 3.156
3.156 0.000 3.156
3.156 3.156 0.000
Ag Ni Ti
2 1 1
direct
0.250 0.250 0.250
0.750 0.750 0.750
0.500 0.500 0.500
0.000 0.000 0.000
```

## Properties
ΔE_f in meV per atom: 177.9
Magnetic moment in μB/cell: 0.00
Excess energy over the best structure of this formula in the dataset in meV per atom: 0

=====

No. 4
Here is a relaxed TiNiAg3 crystal from Alexandria. Energies are from GGA-PBE.

Geometry as POSCAR:
```
TiNiAg3
1.0
4.947 0.000 0.000
0.000 4.947 0.000
0.000 0.000 4.947
Ag Ni Ti
3 1 1
direct
0.000 0.000 0.500
0.500 0.000 0.000
0.000 0.500 0.000
0.500 0.500 0.500
0.000 0.000 0.000
```

## Properties
ΔE_f in meV per atom: 1477.4
Magnetic moment in μB/cell: 2.45
Excess energy over the best structure of this formula in the dataset in meV per atom: 537

=====

Q: What is the magnetic moment in the second record?
A: 0.00 μB/cell

=====

Please write out number 3 again, unchanged.
Here is a relaxed TiNiAg2 crystal from Alexandria. Energies are from GGA-PBE.

Geometry as POSCAR:
```
TiNiAg2
1.0
0.000 3.156 3.156
3.156 0.000 3.156
3.156 3.156 0.000
Ag Ni Ti
2 1 1
direct
0.250 0.250 0.250
0.750 0.750 0.750
0.500 0.500 0.500
0.000 0.000 0.000
```

## Properties
ΔE_f in meV per atom: 177.9
Magnetic moment in μB/cell: 0.00
Excess energy over the best structure of this formula in the dataset in meV per atom: 0